This record from OQMD via LeMat-Bulk describes a relaxed CuB4Sb crystal. The functional is PBE.

a = 3.071 Å, b = 5.326 Å, c = 7.787 Å
α = 90.00°, β = 90.00°, γ = 90.00°
Space group Immm (No. 71)
Asymmetric unit:
Cu  0.000  0.000  0.000 (multiplicity 2)
B  0.000  0.335  0.259 (multiplicity 8)
Sb  0.000  0.000  0.500 (multiplicity 2)

***

This record from OQMD via LeMat-Bulk describes a relaxed DyHo2NiSn3Pd2 crystal. The functional is PBE.

a = 3.887 Å, b = 13.041 Å, c = 7.521 Å
α = 90.00°, β = 90.00°, γ = 90.00°
Space group Amm2 (No. 38)
Asymmetric unit:
Dy  0.000  0.000  0.000 (multiplicity 2)
Ho  0.000  0.201  0.604 (multiplicity 4)
Ni  0.000  0.000  0.403 (multiplicity 2)
Sn  0.500  0.000  0.653 (multiplicity 2)
Sn  0.500  0.125  0.277 (multiplicity 4)
Pd  0.500  0.167  0.902 (multiplicity 4)

***

This record from OQMD via LeMat-Bulk describes a relaxed ScBeCoSn crystal. The functional is PBE.

a = 6.240 Å, b = 6.240 Å, c = 6.240 Å
α = 90.00°, β = 90.00°, γ = 90.00°
Space group F-43m (No. 216)
Asymmetric unit:
Sc  0.000  0.000  0.000 (multiplicity 4)
Be  0.250  0.250  0.250 (multiplicity 4)
Co  0.000  0.000  0.500 (multiplicity 4)
Sn  0.250  0.250  0.750 (multiplicity 4)

***

This record from OQMD via LeMat-Bulk describes a relaxed LuFeTcAs crystal. The functional is PBE.

a = 6.241 Å, b = 6.241 Å, c = 6.241 Å
α = 90.00°, β = 90.00°, γ = 90.00°
Space group F-43m (No. 216)
Asymmetric unit:
Lu  0.000  0.000  0.000 (multiplicity 4)
Fe  0.250  0.250  0.750 (multiplicity 4)
Tc  0.250  0.250  0.250 (multiplicity 4)
As  0.000  0.000  0.500 (multiplicity 4)

***

This record from OQMD via LeMat-Bulk describes a relaxed SrCuReOs crystal. The functional is PBE.

a = 6.528 Å, b = 6.528 Å, c = 6.528 Å
α = 90.00°, β = 90.00°, γ = 90.00°
Space group F-43m (No. 216)
Asymmetric unit:
Sr  0.000  0.000  0.000 (multiplicity 4)
Cu  0.250  0.250  0.250 (multiplicity 4)
Re  0.000  0.000  0.500 (multiplicity 4)
Os  0.250  0.250  0.750 (multiplicity 4)

***

This record from OQMD via LeMat-Bulk describes a relaxed Y4AlNiC2 crystal. The functional is PBE.

a = 3.5963 Å, b = 3.5963 Å, c = 14.7042 Å
α = 90.00°, β = 90.00°, γ = 120.00°
Space group P-6m2 (No. 187)
Asymmetric unit:
Y  0.0000  0.0000  0.1389 (multiplicity 2)
Y  0.6667  0.3333  0.3265 (multiplicity 2)
Al  0.0000  0.0000  0.5000 (multiplicity 1)
Ni  0.6667  0.3333  0.0000 (multiplicity 1)
C  0.3333  0.6667  0.2341 (multiplicity 2)

***

This record from OQMD via LeMat-Bulk describes a relaxed Y2TlCd crystal. The functional is PBE.

a = 5.1765 Å, b = 5.1765 Å, c = 10.4415 Å
α = 90.00°, β = 90.00°, γ = 120.00°
Space group P6_3/mmc (No. 194)
Asymmetric unit:
Y  0.3333  0.6667  0.0898 (multiplicity 4)
Tl  0.0000  0.0000  0.0000 (multiplicity 2)
Cd  0.3333  0.6667  0.7500 (multiplicity 2)

***

This record from OQMD via LeMat-Bulk describes a relaxed CoAgAsAu crystal. The functional is PBE.

a = 6.381 Å, b = 6.381 Å, c = 6.381 Å
α = 90.00°, β = 90.00°, γ = 90.00°
Space group F-43m (No. 216)
Asymmetric unit:
Co  0.000  0.000  0.000 (multiplicity 4)
Ag  0.000  0.000  0.500 (multiplicity 4)
As  0.250  0.250  0.750 (multiplicity 4)
Au  0.250  0.250  0.250 (multiplicity 4)

***

This record from OQMD via LeMat-Bulk describes a relaxed PrGa2PdAu crystal. The functional is PBE.

a = 4.444 Å, b = 4.444 Å, c = 10.293 Å
α = 90.00°, β = 90.00°, γ = 90.00°
Space group P4/nmm (No. 129, origin choice 2)
Asymmetric unit:
Pr  0.250  0.250  0.245 (multiplicity 2)
Ga  0.250  0.250  0.640 (multiplicity 2)
Ga  0.250  0.750  0.000 (multiplicity 2)
Pd  0.250  0.250  0.879 (multiplicity 2)
Au  0.250  0.750  0.500 (multiplicity 2)

***

This record from OQMD via LeMat-Bulk describes a relaxed LaSmLu crystal. The functional is PBE.

a = 7.749 Å, b = 7.749 Å, c = 7.749 Å
α = 90.00°, β = 90.00°, γ = 90.00°
Space group F-43m (No. 216)
Asymmetric unit:
La  0.000  0.000  0.000 (multiplicity 4)
Sm  0.000  0.000  0.500 (multiplicity 4)
Lu  0.250  0.250  0.250 (multiplicity 4)

ΔH_f (0 K): 661 meV/atom

***

This record from OQMD via LeMat-Bulk describes a relaxed SrBMo crystal. The functional is PBE.

a = 6.208 Å, b = 6.208 Å, c = 6.208 Å
α = 90.00°, β = 90.00°, γ = 90.00°
Space group F-43m (No. 216)
Asymmetric unit:
Sr  0.000  0.000  0.000 (multiplicity 4)
B  0.250  0.250  0.750 (multiplicity 4)
Mo  0.000  0.000  0.500 (multiplicity 4)

***

This record from OQMD via LeMat-Bulk describes a relaxed ScZnGaNi crystal. The functional is PBE.

a = 6.209 Å, b = 6.209 Å, c = 6.209 Å
α = 90.00°, β = 90.00°, γ = 90.00°
Space group F-43m (No. 216)
Asymmetric unit:
Sc  0.000  0.000  0.000 (multiplicity 4)
Zn  0.250  0.250  0.750 (multiplicity 4)
Ga  0.250  0.250  0.250 (multiplicity 4)
Ni  0.000  0.000  0.500 (multiplicity 4)

***

This record from OQMD via LeMat-Bulk describes a relaxed CsScCdTe3 crystal. The functional is PBE.

a = 19.358 Å, b = 4.402 Å, c = 10.014 Å
α = 90.00°, β = 100.63°, γ = 90.00°
Space group C2/m (No. 12)
Asymmetric unit:
Cs  0.152  0.000  0.058 (multiplicity 4)
Sc  0.175  0.000  0.570 (multiplicity 4)
Cd  0.010  0.500  0.716 (multiplicity 4)
Te  0.000  0.000  0.500 (multiplicity 2)
Te  0.000  0.500  0.000 (multiplicity 2)
Te  0.163  0.500  0.755 (multiplicity 4)
Te  0.171  0.500  0.372 (multiplicity 4)

***

This record from OQMD via LeMat-Bulk describes a relaxed Tl6Hg2As crystal. The functional is PBE.

a = 8.5639 Å, b = 8.5639 Å, c = 4.1831 Å
α = 90.00°, β = 90.00°, γ = 120.00°
Space group P-62m (No. 189)
Asymmetric unit:
Tl  0.0000  0.2542  0.0000 (multiplicity 3)
Tl  0.0000  0.6108  0.5000 (multiplicity 3)
Hg  0.3333  0.6667  0.0000 (multiplicity 2)
As  0.0000  0.0000  0.5000 (multiplicity 1)

***

This record from OQMD via LeMat-Bulk describes a relaxed CuP4 crystal. The functional is PBE.

a = 5.359 Å, b = 10.968 Å, c = 11.480 Å
α = 90.00°, β = 93.36°, γ = 90.00°
Space group C2/c (No. 15)
Asymmetric unit:
Cu  0.000  0.086  0.250 (multiplicity 4)
Cu  0.250  0.250  0.500 (multiplicity 4)
P  0.052  0.087  0.042 (multiplicity 8)
P  0.072  0.404  0.023 (multiplicity 8)
P  0.188  0.432  0.214 (multiplicity 8)
P  0.189  0.247  0.718 (multiplicity 8)

***

This record from OQMD via LeMat-Bulk describes a relaxed ZrNpPa crystal. The functional is PBE.

a = 6.785 Å, b = 6.785 Å, c = 6.785 Å
α = 90.00°, β = 90.00°, γ = 90.00°
Space group F-43m (No. 216)
Asymmetric unit:
Zr  0.000  0.000  0.000 (multiplicity 4)
Np  0.250  0.250  0.750 (multiplicity 4)
Pa  0.000  0.000  0.500 (multiplicity 4)

ΔH_f (0 K): 878 meV/atom

***

This record from OQMD via LeMat-Bulk describes a relaxed NdSmGa2Cl2 crystal. The functional is PBE.

a = 4.1654 Å, b = 4.1654 Å, c = 10.8982 Å
α = 90.00°, β = 90.00°, γ = 120.00°
Space group P3m1 (No. 156)
Asymmetric unit:
Nd  0.0000  0.0000  0.0000 (multiplicity 1)
Sm  0.0000  0.0000  0.3884 (multiplicity 1)
Ga  0.3333  0.6667  0.1652 (multiplicity 1)
Ga  0.6667  0.3333  0.2244 (multiplicity 1)
Cl  0.3333  0.6667  0.5343 (multiplicity 1)
Cl  0.6667  0.3333  0.8526 (multiplicity 1)

***

This record from OQMD via LeMat-Bulk describes a relaxed LiTmMgS3 crystal. The functional is PBE.

a = 3.880 Å, b = 12.386 Å, c = 10.803 Å
α = 90.00°, β = 90.00°, γ = 90.00°
Space group Cmcm (No. 63)
Asymmetric unit:
Li  0.000  0.242  0.250 (multiplicity 4)
Tm  0.000  0.500  0.000 (multiplicity 4)
Mg  0.000  0.027  0.750 (multiplicity 4)
S  0.000  0.136  0.571 (multiplicity 8)
S  0.000  0.408  0.750 (multiplicity 4)

***

This record from OQMD via LeMat-Bulk describes a relaxed LaGdNO crystal. The functional is PBE.

a = 5.092 Å, b = 4.122 Å, c = 7.138 Å
α = 90.00°, β = 90.00°, γ = 90.00°
Space group Pmma (No. 51)
Asymmetric unit:
La  0.250  0.000  0.166 (multiplicity 2)
Gd  0.250  0.500  0.664 (multiplicity 2)
N  0.250  0.500  0.344 (multiplicity 2)
O  0.250  0.000  0.806 (multiplicity 2)

***

This record from OQMD via LeMat-Bulk describes a relaxed IrI2Cl crystal. The functional is PBE.

a = 6.683 Å, b = 12.214 Å, c = 7.109 Å
α = 90.00°, β = 90.00°, γ = 90.00°
Space group Amm2 (No. 38)
Asymmetric unit:
Ir  0.242  0.000  0.000 (multiplicity 4)
I  0.000  0.000  0.701 (multiplicity 2)
I  0.500  0.000  0.294 (multiplicity 2)
I  0.500  0.145  0.864 (multiplicity 4)
Cl  0.000  0.128  0.125 (multiplicity 4)

***

no.,energy (eV per atom)
1,-5.15
2,-5.50
3,-5.35
4,-6.98
5,-6.33
6,-6.90
7,-4.08
8,-4.15
9,-4.59
10,-4.06
11,-5.14
12,-4.47
13,-3.79
14,-2.17
15,-5.05
16,-9.39
17,-4.61
18,-4.90
19,-7.85
20,-3.64